(1)
The following is a DFT calculation (PBE) of HfTaNi2N after structural relaxation.

Properties
- space group = P4/mmm, No. 123
- magnetization (μB/cell) = 0.00
- mass density (g/cm3) = 9.92
- formation energy (no corrections) (eV per atom) = 0.965

Cell lengths 4.5446, 3.9769, 4.5446 Å; angles 90.00, 90.00, 90.00 degrees
With the nearest neighbours (Å) after each atom.
Sites, in units of the cell vectors:
N: 0.0000 0.5000 0.0000  2 Hf 1.99
Hf: 0.0000 0.0000 0.0000  2 N 1.99
Ni: 0.0000 0.0000 0.5000  2 Hf 2.27
Ta: 0.5000 0.5000 0.5000  8 Ni 3.02, 4 N 3.21
Ni: 0.5000 0.0000 0.0000  2 Hf 2.27


(2)
The following is a DFT calculation (PBE) of LaCoAg2Bi after structural relaxation.

Properties
- calculated formation energy (kJ/mol of atoms) = 4
- space group = P4/mmm, No. 123
- magnetization (μB/cell) = 1.09
- mass density (g/cm3) = 8.50

Cell lengths 4.9770, 4.9108, 4.9770 Å; angles 90.00, 90.00, 90.00 degrees
With the nearest neighbours (Å) after each atom.
Sites, in units of the cell vectors:
Ag: 0.0000 0.0000 0.5000  2 Co 2.49
Bi: 0.0000 0.5000 0.0000  2 Co 2.46
Co: 0.0000 0.0000 0.0000  2 Bi 2.46, 4 Ag 2.49
Ag: 0.5000 0.0000 0.0000  2 Co 2.49
La: 0.5000 0.5000 0.5000  8 Ag 3.50, 4 Bi 3.52


(3)
The following is a DFT calculation (PBE) of K2Co2Re after structural relaxation.

Properties
- calculated formation energy (kJ/mol of atoms) = 229
- space group = I4/mmm, No. 139
- magnetization (μB/cell) = 6.39
- mass density (g/cm3) = 5.67
- ΔE to the lowest computed polymorph (eV/atom) = 0.533

Cell lengths 5.0548, 5.0548, 5.6540 Å; angles 63.45, 63.45, 90.00 degrees
With the nearest neighbours (Å) after each atom.
Sites, in units of the cell vectors:
Re: 0.0000 0.0000 0.0000  2 K 3.12, 8 Co 3.34
K: 0.3560 0.3560 0.2879  1 K 2.52, 4 Co 2.69
Co: 0.2500 0.7500 0.5000  4 K 2.69
K: 0.6440 0.6440 0.7121  1 K 2.52, 4 Co 2.69
Co: 0.7500 0.2500 0.5000  4 K 2.69